(1)
Compound: LiLaTa3
Source: the Alexandria database
Functional: GGA-PBE
Structure: relaxed

Its formation energy from the elements is 118.1 kJ per mole of atoms.

Lattice parameters (Å, degrees): 4.691 4.691 4.691 90.00 90.00 90.00
Space group Pm-3m (No. 221)
One atom of each set of equivalent atoms:
Li  0.000  0.000  0.000
La  0.500  0.500  0.500
Ta  0.000  0.000  0.500

(2)
Compound: GdLuPtAu
Source: the Alexandria database
Functional: GGA-PBE
Structure: relaxed

Its formation energy from the elements is -99.6 kJ per mole of atoms.

Lattice parameters (Å, degrees): 7.057 7.057 7.057 90.00 90.00 90.00
Space group F-43m (No. 216)
One atom of each set of equivalent atoms:
Gd  0.000  0.000  0.000
Lu  0.000  0.000  0.500
Pt  0.250  0.250  0.750
Au  0.250  0.250  0.250

(3)
Compound: NaInTe2
Source: the Alexandria database
Functional: GGA-PBE
Structure: relaxed

For the raw formation energy, the calculation gives -0.49 eV/atom.

Lattice parameters (Å, degrees): 4.3790 4.3790 8.2634 90.00 90.00 120.00
Space group P3m1 (No. 156)
One atom of each set of equivalent atoms:
Na  0.0000  0.0000  0.0000
In  0.6667  0.3333  0.5614
Te  0.0000  0.0000  0.3721
Te  0.3333  0.6667  0.7758